No. 1
First-principles (GGA-PBE) data for Pu2GeTe4 after structural relaxation, as listed in Alexandria.

Values from the calculation:
calculated density: 7.7 Mg/m³
density of states at the Fermi level: 3.264 states/eV/atom
raw formation energy: -4.75 eV per formula unit
energy: -50.60 eV per cell

a = 8.0299 Å, b = 8.0299 Å, c = 7.6774 Å
α = 117.93°, β = 117.93°, γ = 32.10°
Element x y z (fractional)
Pu 0.2456 0.2456 0.2384
Pu 0.7544 0.7544 0.7616
Ge 0.0000 0.0000 0.0000
Te 0.1200 0.1200 0.7800
Te 0.3819 0.3819 0.7040
Te 0.6181 0.6181 0.2960
Te 0.8800 0.8800 0.2200


No. 2
First-principles (GGA-PBE) data for LiCa2Cd after structural relaxation, as listed in Alexandria.

Values from the calculation:
calculated density: 2.8 Mg/m³
formation energy from the elements: -162.9 meV per atom
density of states at the Fermi level: 0.671 states/eV/atom
energy: -7.48 eV per cell

a = 3.7567 Å, b = 3.7567 Å, c = 8.2933 Å
α = 90.00°, β = 90.00°, γ = 90.00°
Element x y z (fractional)
Li 0.0000 0.0000 0.0000
Ca 0.0000 0.0000 0.6029
Ca 0.5000 0.5000 0.2564
Cd 0.5000 0.5000 0.8453


No. 3
First-principles (GGA-PBE) data for GeMoSe2 after structural relaxation, as listed in Alexandria.

Values from the calculation:
calculated density: 5.2 Mg/m³
density of states at the Fermi level: 0.226 states/eV/atom
raw formation energy: 1.11 eV per formula unit
energy: -42.61 eV per cell

a = 7.0459 Å, b = 7.0459 Å, c = 7.0459 Å
α = 128.48°, β = 128.48°, γ = 75.85°
Element x y z (fractional)
Ge 0.0000 0.0000 0.0000
Ge 0.7500 0.2500 0.5000
Mo 0.2500 0.7500 0.5000
Mo 0.5000 0.5000 0.0000
Se 0.1637 0.6250 0.0387
Se 0.3750 0.4137 0.5387
Se 0.5863 0.1250 0.9613
Se 0.8750 0.8363 0.4613


No. 4
First-principles (GGA-PBE) data for AlSi2Pb2 after structural relaxation, as listed in Alexandria.

Values from the calculation:
calculated density: 7.1 Mg/m³
density of states at the Fermi level: 0.327 states/eV/atom
raw formation energy: 1.29 eV per formula unit
energy: -41.43 eV per cell

a = 6.5883 Å, b = 6.5883 Å, c = 5.3354 Å
α = 90.00°, β = 90.00°, γ = 90.00°
Element x y z (fractional)
Al 0.0000 0.0000 0.0000
Al 0.5000 0.5000 0.0000
Si 0.1279 0.3721 0.0000
Si 0.3721 0.8721 0.0000
Si 0.6279 0.1279 0.0000
Si 0.8721 0.6279 0.0000
Pb 0.2022 0.7022 0.5000
Pb 0.2978 0.2022 0.5000
Pb 0.7022 0.7978 0.5000
Pb 0.7978 0.2978 0.5000


No. 5
First-principles (GGA-PBE) data for CsAlCu2Br8 after structural relaxation, as listed in Alexandria.

Values from the calculation:
calculated density: 4.1 Mg/m³
density of states at the Fermi level: 1.240 states/eV/atom
raw formation energy: -8.83 eV per formula unit
energy: -35.00 eV per cell

a = 6.6753 Å, b = 6.6753 Å, c = 9.8223 Å
α = 90.00°, β = 90.00°, γ = 120.00°
Element x y z (fractional)
Cs 0.0000 0.0000 0.0000
Al 0.0000 0.0000 0.5000
Cu 0.3333 0.6667 0.7152
Cu 0.6667 0.3333 0.2848
Br 0.0100 0.6970 0.3492
Br 0.3030 0.3130 0.3492
Br 0.3130 0.0100 0.6508
Br 0.3333 0.6667 0.9552
Br 0.6667 0.3333 0.0448
Br 0.6870 0.9900 0.3492
Br 0.6970 0.6870 0.6508
Br 0.9900 0.3030 0.6508


No. 6
First-principles (GGA-PBE) data for MnPb2S3 after structural relaxation, as listed in Alexandria.

Values from the calculation:
calculated density: 6.3 Mg/m³
raw formation energy: -3.03 eV per formula unit
energy: -128.00 eV per cell

a = 8.4998 Å, b = 4.1588 Å, c = 16.8304 Å
α = 90.00°, β = 90.00°, γ = 90.00°
Element x y z (fractional)
Mn 0.1233 0.2500 0.1301
Mn 0.3767 0.7500 0.6301
Mn 0.6233 0.2500 0.3699
Mn 0.8767 0.7500 0.8699
Pb 0.0856 0.2500 0.7320
Pb 0.2158 0.2500 0.4609
Pb 0.2842 0.7500 0.9609
Pb 0.4144 0.7500 0.2320
Pb 0.5856 0.2500 0.7680
Pb 0.7158 0.2500 0.0391
Pb 0.7842 0.7500 0.5391
Pb 0.9144 0.7500 0.2680
S 0.0131 0.2500 0.8982
S 0.1275 0.7500 0.5669
S 0.1747 0.2500 0.2703
S 0.3253 0.7500 0.7703
S 0.3725 0.2500 0.0669
S 0.4869 0.7500 0.3982
S 0.5131 0.2500 0.6018
S 0.6275 0.7500 0.9331
S 0.6747 0.2500 0.2297
S 0.8253 0.7500 0.7297
S 0.8725 0.2500 0.4331
S 0.9869 0.7500 0.1018